one.
AcPmHg, optimized geometry, DFT PBE; magnetic moment = 0.00 Bohr magnetons per cell; DOS(E_F) = 5.76 states/eV per cell; space group = No. 12
1.0
8.926 -1.991 0.000
8.926 1.991 0.000
0.000 0.000 5.690
Ac Pm Hg
2 2 2
Direct
0.079 0.079 0.249 Ac
0.921 0.921 0.751 Ac
0.229 0.229 0.750 Pm
0.771 0.771 0.250 Pm
0.412 0.412 0.252 Hg
0.588 0.588 0.748 Hg

***

two.
AcPmHg, optimized geometry, DFT PBE; magnetic moment = 0.00 Bohr magnetons per cell; DOS(E_F) = 5.24 states/eV per cell; space group = No. 12
1.0
3.576 -3.577 0.000
3.576 3.577 0.000
-0.010 0.000 8.108
Ac Pm Hg
2 2 2
Direct
0.250 0.250 0.134 Ac
0.750 0.750 0.866 Ac
0.250 0.750 0.500 Pm
0.750 0.250 0.500 Pm
0.250 0.250 0.741 Hg
0.750 0.750 0.259 Hg

***

three.
AcPmHg, optimized geometry, DFT PBE; magnetic moment = 0.09 Bohr magnetons per cell; DOS(E_F) = 5.48 states/eV per cell; space group = No. 216
1.0
0.000 3.826 3.826
3.826 0.000 3.826
3.826 3.826 0.000
Ac Pm Hg
1 1 1
Direct
0.000 0.000 0.000 Ac
0.500 0.500 0.500 Pm
0.250 0.250 0.250 Hg

***

four.
AcPmHg, optimized geometry, DFT PBE; magnetic moment = 0.41 Bohr magnetons per cell; DOS(E_F) = 3.96 states/eV per cell; space group = No. 107
1.0
-1.957 1.957 6.603
1.957 -1.957 6.603
1.957 1.957 -6.603
Ac Pm Hg
1 1 1
Direct
0.000 0.000 0.000 Ac
0.298 0.298 0.000 Pm
0.669 0.669 0.000 Hg

***

Going by the energies, one is most stable and the next is 0.022 eV/atom up.

***

one.
AcPmHg, optimized geometry, DFT PBE; magnetic moment = 0.00 Bohr magnetons per cell; DOS(E_F) = 7.72 states/eV per cell; space group = No. 63
1.0
1.794 -8.732 0.000
1.794 8.732 0.000
0.000 0.000 6.705
Ac Pm Hg
2 2 2
Direct
0.000 0.000 0.000 Ac
0.000 0.000 0.500 Ac
0.191 0.809 0.750 Pm
0.809 0.191 0.250 Pm
0.364 0.636 0.750 Hg
0.636 0.364 0.250 Hg

***

two.
AcPmHg, optimized geometry, DFT PBE; magnetic moment = 0.00 Bohr magnetons per cell; DOS(E_F) = 4.66 states/eV per cell; space group = No. 187
1.0
5.438 0.000 0.000
-2.719 4.709 0.000
0.000 0.000 3.999
Ac Pm Hg
1 1 1
Direct
0.000 0.000 0.000 Ac
0.667 0.333 0.500 Pm
0.333 0.667 0.500 Hg

***

Going by the energies, two is most stable and the next is 0.225 eV/atom up.

***

one.
Ac3PmHg, optimized geometry, DFT PBE; magnetic moment = 0.00 Bohr magnetons per cell; DOS(E_F) = 12.32 states/eV per cell; space group = No. 12
1.0
12.144 -1.960 0.000
12.144 1.960 0.000
-1.906 0.000 8.257
Ac Pm Hg
6 2 2
Direct
0.013 0.013 0.252 Ac
0.175 0.175 0.474 Ac
0.380 0.380 0.973 Ac
0.620 0.620 0.027 Ac
0.825 0.825 0.526 Ac
0.987 0.987 0.748 Ac
0.255 0.255 0.167 Pm
0.745 0.745 0.833 Pm
0.419 0.419 0.394 Hg
0.581 0.581 0.606 Hg

***

two.
Ac3PmHg, optimized geometry, DFT PBE; magnetic moment = 0.00 Bohr magnetons per cell; DOS(E_F) = 15.98 states/eV per cell; space group = No. 12
1.0
6.227 -4.834 0.000
6.227 4.834 0.000
-4.645 0.000 6.941
Ac Pm Hg
6 2 2
Direct
0.044 0.044 0.306 Ac
0.104 0.516 0.295 Ac
0.484 0.896 0.705 Ac
0.516 0.104 0.295 Ac
0.896 0.484 0.705 Ac
0.956 0.956 0.694 Ac
0.424 0.424 0.738 Pm
0.576 0.576 0.262 Pm
0.277 0.277 0.942 Hg
0.723 0.723 0.058 Hg

***

Going by the energies, one is most stable and the next is 0.064 eV/atom up.

***

one.
AcPm2Hg, optimized geometry, DFT PBE; magnetic moment = 0.00 Bohr magnetons per cell; DOS(E_F) = 6.50 states/eV per cell; space group = No. 123
1.0
5.021 0.000 0.000
0.000 5.021 0.000
0.000 0.000 5.135
Ac Pm Hg
1 2 1
Direct
0.000 0.000 0.000 Ac
0.000 0.500 0.500 Pm
0.500 0.000 0.500 Pm
0.500 0.500 0.000 Hg

***

two.
AcPm2Hg, optimized geometry, DFT PBE; magnetic moment = 0.00 Bohr magnetons per cell; DOS(E_F) = 4.80 states/eV per cell; space group = No. 160
1.0
1.922 1.109 10.959
-1.922 1.109 10.959
0.000 -2.219 10.959
Ac Pm Hg
1 2 1
Direct
0.000 0.000 0.000 Ac
0.238 0.238 0.238 Pm
0.429 0.429 0.429 Pm
0.834 0.834 0.834 Hg

***

three.
AcPm2Hg, optimized geometry, DFT PBE; magnetic moment = 0.00 Bohr magnetons per cell; DOS(E_F) = 5.71 states/eV per cell; space group = No. 123
1.0
3.835 0.000 0.000
0.000 3.835 0.000
0.000 0.000 8.969
Ac Pm Hg
1 2 1
Direct
0.000 0.000 0.000 Ac
0.500 0.500 0.290 Pm
0.500 0.500 0.710 Pm
0.000 0.000 0.500 Hg

***

four.
AcPm2Hg, optimized geometry, DFT PBE; magnetic moment = 0.00 Bohr magnetons per cell; DOS(E_F) = 6.03 states/eV per cell; space group = No. 225
1.0
0.000 4.005 4.005
4.005 0.000 4.005
4.005 4.005 0.000
Ac Pm Hg
1 2 1
Direct
0.000 0.000 0.000 Ac
0.250 0.250 0.250 Pm
0.750 0.750 0.750 Pm
0.500 0.500 0.500 Hg

***

Going by the energies, three is most stable and the next is 0.097 eV/atom up.

***

one.
AcPm2Hg2, optimized geometry, DFT PBE; magnetic moment = 0.89 Bohr magnetons per cell; DOS(E_F) = 5.84 states/eV per cell; space group = No. 65
1.0
1.974 -10.622 0.000
1.974 10.622 0.000
0.000 0.000 3.875
Ac Pm Hg
1 2 2
Direct
0.000 0.000 0.000 Ac
0.180 0.820 0.000 Pm
0.820 0.180 0.000 Pm
0.398 0.602 0.500 Hg
0.602 0.398 0.500 Hg

***

two.
AcPm2Hg2, optimized geometry, DFT PBE; magnetic moment = 0.00 Bohr magnetons per cell; DOS(E_F) = 10.90 states/eV per cell; space group = No. 15
1.0
3.708 -6.033 0.000
3.708 6.033 0.000
-3.701 0.000 8.210
Ac Pm Hg
2 4 4
Direct
0.125 0.875 0.750 Ac
0.875 0.125 0.250 Ac
0.271 0.520 0.042 Pm
0.480 0.729 0.458 Pm
0.520 0.271 0.542 Pm
0.729 0.480 0.958 Pm
0.156 0.844 0.250 Hg
0.405 0.595 0.750 Hg
0.595 0.405 0.250 Hg
0.844 0.156 0.750 Hg

***

Going by the energies, one is most stable and the next is 0.238 eV/atom up.

***

one.
AcPmHg4, optimized geometry, DFT PBE; magnetic moment = 0.00 Bohr magnetons per cell; DOS(E_F) = 5.21 states/eV per cell; space group = No. 47
1.0
4.595 0.000 0.000
0.000 4.612 0.000
0.000 0.000 9.253
Ac Pm Hg
1 1 4
Direct
0.000 0.000 0.000 Ac
0.500 0.500 0.500 Pm
0.000 0.500 0.265 Hg
0.000 0.500 0.735 Hg
0.500 0.000 0.266 Hg
0.500 0.000 0.734 Hg

***

two.
AcPmHg4, optimized geometry, DFT PBE; magnetic moment = 0.00 Bohr magnetons per cell; DOS(E_F) = 2.07 states/eV per cell; space group = No. 216
1.0
0.000 4.335 4.335
4.335 0.000 4.335
4.335 4.335 0.000
Ac Pm Hg
1 1 4
Direct
0.000 0.000 0.000 Ac
0.750 0.750 0.750 Pm
0.375 0.375 0.375 Hg
0.375 0.375 0.874 Hg
0.375 0.874 0.375 Hg
0.874 0.375 0.375 Hg

***

Going by the energies, two is most stable and the next is 0.079 eV/atom up.

***

one.
Ac2PmHg2, optimized geometry, DFT PBE; magnetic moment = 0.00 Bohr magnetons per cell; DOS(E_F) = 5.25 states/eV per cell; space group = No. 71
1.0
-2.092 3.833 5.449
2.092 -3.833 5.449
2.092 3.833 -5.449
Ac Pm Hg
2 1 2
Direct
0.208 0.208 0.000 Ac
0.792 0.792 0.000 Ac
0.500 0.000 0.500 Pm
0.203 0.500 0.703 Hg
0.797 0.500 0.297 Hg

***

two.
Ac2PmHg2, optimized geometry, DFT PBE; magnetic moment = 0.97 Bohr magnetons per cell; DOS(E_F) = 5.93 states/eV per cell; space group = No. 65
1.0
1.978 -11.119 0.000
1.978 11.119 0.000
0.000 0.000 3.892
Ac Pm Hg
2 1 2
Direct
0.173 0.827 0.000 Ac
0.827 0.173 0.000 Ac
0.000 0.000 0.000 Pm
0.420 0.580 0.500 Hg
0.580 0.420 0.500 Hg

***

Going by the energies, one is most stable and the next is 0.023 eV/atom up.

***

one.
AcPmPrHg, optimized geometry, DFT PBE; magnetic moment = 0.00 Bohr magnetons per cell; DOS(E_F) = 5.58 states/eV per cell; space group = No. 99
1.0
3.857 0.000 0.000
0.000 3.857 0.000
0.000 0.000 9.010
Ac Pm Pr Hg
1 1 1 1
Direct
0.000 0.000 0.000 Ac
0.500 0.500 0.287 Pm
0.500 0.500 0.708 Pr
0.000 0.000 0.490 Hg

***

two.
AcPmPrHg, optimized geometry, DFT PBE; magnetic moment = 0.00 Bohr magnetons per cell; DOS(E_F) = 6.02 states/eV per cell; space group = No. 216
1.0
0.000 4.027 4.027
4.027 0.000 4.027
4.027 4.027 0.000
Ac Pm Pr Hg
1 1 1 1
Direct
0.000 0.000 0.000 Ac
0.250 0.250 0.250 Pm
0.750 0.750 0.750 Pr
0.500 0.500 0.500 Hg

***

Going by the energies, one is most stable and the next is 0.216 eV/atom up.